## Nd5Dy3In (PBE-GGA)

Data for crystalline Nd5Dy3In at its relaxed geometry.

Cell and atoms, written as CIF:
```
data_Nd5Dy3In
_chemical_formula_sum 'Nd10 Dy6 In2'
_space_group_name_H-M_alt 'P 1'
_space_group_IT_number 1
_space_group_name_Hall 'P 1'
_cell_length_a 7.972
_cell_length_b 7.972
_cell_length_c 11.496
_cell_angle_alpha 95.27
_cell_angle_beta 95.27
_cell_angle_gamma 60.75
loop_
_atom_site_label
_atom_site_type_symbol
_atom_site_fract_x
_atom_site_fract_y
_atom_site_fract_z
Nd1 Nd 0.010 0.010 0.372
Nd2 Nd 0.160 0.589 0.247
Nd3 Nd 0.170 0.830 0.000
Nd4 Nd 0.262 0.262 0.962
Nd5 Nd 0.411 0.840 0.753
Nd6 Nd 0.589 0.160 0.247
Nd7 Nd 0.738 0.738 0.038
Nd8 Nd 0.830 0.170 0.000
Nd9 Nd 0.840 0.411 0.753
Nd10 Nd 0.990 0.990 0.628
Dy1 Dy 0.169 0.169 0.217
Dy2 Dy 0.244 0.244 0.525
Dy3 Dy 0.500 0.500 0.000
Dy4 Dy 0.500 0.500 0.500
Dy5 Dy 0.756 0.756 0.475
Dy6 Dy 0.831 0.831 0.783
In1 In 0.405 0.405 0.742
In2 In 0.595 0.595 0.258
```

- Space group: No. 12
- DFT formation energy: 365.6 meV per atom
- Raw total energy: -37.1 eV/f.u.
- N(E_F): 24.89 states/eV per cell

---

## Fe2AsAu (PBE-GGA)

Data for crystalline Fe2AsAu at its relaxed geometry.

Cell and atoms, written as CIF:
```
data_Fe2AsAu
_chemical_formula_sum 'Fe2 As1 Au1'
_space_group_name_H-M_alt 'P 1'
_space_group_IT_number 1
_space_group_name_Hall 'P 1'
_cell_length_a 4.399
_cell_length_b 4.399
_cell_length_c 4.399
_cell_angle_alpha 60.00
_cell_angle_beta 60.00
_cell_angle_gamma 60.00
loop_
_atom_site_label
_atom_site_type_symbol
_atom_site_fract_x
_atom_site_fract_y
_atom_site_fract_z
Fe1 Fe 0.000 0.000 0.000
Fe2 Fe 0.250 0.250 0.250
As1 As 0.500 0.500 0.500
Au1 Au 0.750 0.750 0.750
```

- Space group: No. 216
- DFT formation energy: 363.7 meV per atom
- Raw total energy: -23.4 eV/f.u.
- N(E_F): 4.93 states/eV per cell

---

## CaFeTeI2 (PBE-GGA)

Data for crystalline CaFeTeI2 at its relaxed geometry.

Cell and atoms, written as CIF:
```
data_CaFeTeI2
_chemical_formula_sum 'Ca1 Fe1 Te1 I2'
_space_group_name_H-M_alt 'P 1'
_space_group_IT_number 1
_space_group_name_Hall 'P 1'
_cell_length_a 5.928
_cell_length_b 5.928
_cell_length_c 6.185
_cell_angle_alpha 90.00
_cell_angle_beta 90.00
_cell_angle_gamma 90.00
loop_
_atom_site_label
_atom_site_type_symbol
_atom_site_fract_x
_atom_site_fract_y
_atom_site_fract_z
Ca1 Ca 0.000 0.000 0.000
Fe1 Fe 0.500 0.500 0.500
Te1 Te 0.000 0.000 0.500
I1 I 0.000 0.500 0.000
I2 I 0.500 0.000 0.000
```

- Space group: No. 123
- Uncorrected formation energy: 0.20 eV/atom
- Distance to the lowest polymorph of the same formula: 513 meV per atom
- Raw total energy: -15.7 eV/f.u.
- N(E_F): 10.76 states/eV per cell

---

## Na2MnCrSe4 (PBE-GGA)

Data for crystalline Na2MnCrSe4 at its relaxed geometry.

Cell and atoms, written as CIF:
```
data_Na2MnCrSe4
_chemical_formula_sum 'Na2 Mn1 Cr1 Se4'
_space_group_name_H-M_alt 'P 1'
_space_group_IT_number 1
_space_group_name_Hall 'P 1'
_cell_length_a 6.565
_cell_length_b 3.790
_cell_length_c 7.230
_cell_angle_alpha 90.00
_cell_angle_beta 107.78
_cell_angle_gamma 90.00
loop_
_atom_site_label
_atom_site_type_symbol
_atom_site_fract_x
_atom_site_fract_y
_atom_site_fract_z
Na1 Na 0.000 0.000 0.000
Na2 Na 0.500 0.500 0.000
Mn1 Mn 0.000 0.500 0.500
Cr1 Cr 0.500 0.000 0.500
Se1 Se 0.239 0.000 0.701
Se2 Se 0.272 0.500 0.299
Se3 Se 0.728 0.500 0.701
Se4 Se 0.761 0.000 0.299
```

- Space group: No. 10
- Uncorrected formation energy: -0.76 eV/atom
- Raw total energy: -41.4 eV/f.u.
- N(E_F): 2.12 states/eV per cell

---

## Mg8Tl5In (PBE-GGA)

Data for crystalline Mg8Tl5In at its relaxed geometry.

Cell and atoms, written as CIF:
```
data_Mg8Tl5In
_chemical_formula_sum 'Mg8 Tl5 In1'
_space_group_name_H-M_alt 'P 1'
_space_group_IT_number 1
_space_group_name_Hall 'P 1'
_cell_length_a 7.723
_cell_length_b 7.723
_cell_length_c 7.723
_cell_angle_alpha 109.56
_cell_angle_beta 109.56
_cell_angle_gamma 109.30
loop_
_atom_site_label
_atom_site_type_symbol
_atom_site_fract_x
_atom_site_fract_y
_atom_site_fract_z
Mg1 Mg 0.101 0.355 0.596
Mg2 Mg 0.144 0.402 0.084
Mg3 Mg 0.318 0.060 0.916
Mg4 Mg 0.495 0.899 0.254
Mg5 Mg 0.598 0.682 0.742
Mg6 Mg 0.645 0.241 0.746
Mg7 Mg 0.759 0.505 0.404
Mg8 Mg 0.940 0.856 0.258
Tl1 Tl 0.026 0.668 0.888
Tl2 Tl 0.250 0.750 0.500
Tl3 Tl 0.332 0.220 0.358
Tl4 Tl 0.780 0.138 0.112
Tl5 Tl 0.862 0.974 0.642
In1 In 0.500 0.500 0.000
```

- Space group: No. 82
- DFT formation energy: 9.4 meV per atom
- Raw total energy: -27.2 eV/f.u.
- N(E_F): 9.38 states/eV per cell

---

## Tb4Pm2HoMg (PBE-GGA)

Data for crystalline Tb4Pm2HoMg at its relaxed geometry.

Cell and atoms, written as CIF:
```
data_Tb4Pm2HoMg
_chemical_formula_sum 'Tb4 Pm2 Ho1 Mg1'
_space_group_name_H-M_alt 'P 1'
_space_group_IT_number 1
_space_group_name_Hall 'P 1'
_cell_length_a 4.979
_cell_length_b 4.991
_cell_length_c 10.117
_cell_angle_alpha 90.00
_cell_angle_beta 90.00
_cell_angle_gamma 90.00
loop_
_atom_site_label
_atom_site_type_symbol
_atom_site_fract_x
_atom_site_fract_y
_atom_site_fract_z
Tb1 Tb 0.000 0.000 0.249
Tb2 Tb 0.000 0.000 0.751
Tb3 Tb 0.500 0.500 0.249
Tb4 Tb 0.500 0.500 0.751
Pm1 Pm 0.000 0.500 0.000
Pm2 Pm 0.500 0.000 0.500
Ho1 Ho 0.000 0.500 0.500
Mg1 Mg 0.500 0.000 0.000
```

- Space group: No. 47
- DFT formation energy: 23.3 meV per atom
- Raw total energy: -34.0 eV/f.u.
- N(E_F): 12.16 states/eV per cell

---

## ZrGaPd5 (PBE-GGA)

Data for crystalline ZrGaPd5 at its relaxed geometry.

Cell and atoms, written as CIF:
```
data_ZrGaPd5
_chemical_formula_sum 'Zr1 Ga1 Pd5'
_space_group_name_H-M_alt 'P 1'
_space_group_IT_number 1
_space_group_name_Hall 'P 1'
_cell_length_a 4.049
_cell_length_b 4.049
_cell_length_c 7.075
_cell_angle_alpha 90.00
_cell_angle_beta 90.00
_cell_angle_gamma 90.00
loop_
_atom_site_label
_atom_site_type_symbol
_atom_site_fract_x
_atom_site_fract_y
_atom_site_fract_z
Zr1 Zr 0.000 0.000 0.000
Ga1 Ga 0.500 0.500 0.500
Pd1 Pd 0.000 0.500 0.282
Pd2 Pd 0.000 0.500 0.718
Pd3 Pd 0.500 0.000 0.282
Pd4 Pd 0.500 0.000 0.718
Pd5 Pd 0.500 0.500 0.000
```

- Space group: No. 123
- DFT formation energy: -713.5 meV per atom
- Distance to the lowest polymorph of the same formula: 0 meV per atom
- Raw total energy: -42.5 eV/f.u.
- N(E_F): 1.36 states/eV per cell

---

## Cu2SeN (PBE-GGA)

Data for crystalline Cu2SeN at its relaxed geometry.

Cell and atoms, written as CIF:
```
data_Cu2SeN
_chemical_formula_sum 'Cu2 Se1 N1'
_space_group_name_H-M_alt 'P 1'
_space_group_IT_number 1
_space_group_name_Hall 'P 1'
_cell_length_a 4.141
_cell_length_b 4.141
_cell_length_c 4.141
_cell_angle_alpha 60.00
_cell_angle_beta 60.00
_cell_angle_gamma 60.00
loop_
_atom_site_label
_atom_site_type_symbol
_atom_site_fract_x
_atom_site_fract_y
_atom_site_fract_z
Cu1 Cu 0.250 0.250 0.250
Cu2 Cu 0.750 0.750 0.750
Se1 Se 0.000 0.000 0.000
N1 N 0.500 0.500 0.500
```

- Space group: No. 225
- Uncorrected formation energy: 1.04 eV/atom
- Distance to the lowest polymorph of the same formula: 620 meV per atom
- Raw total energy: -15.9 eV/f.u.
- N(E_F): 3.47 states/eV per cell

---

## SrYSc2 (PBE-GGA)

Data for crystalline SrYSc2 at its relaxed geometry.

Cell and atoms, written as CIF:
```
data_SrYSc2
_chemical_formula_sum 'Sr1 Y1 Sc2'
_space_group_name_H-M_alt 'P 1'
_space_group_IT_number 1
_space_group_name_Hall 'P 1'
_cell_length_a 11.727
_cell_length_b 11.727
_cell_length_c 11.727
_cell_angle_alpha 17.40
_cell_angle_beta 17.40
_cell_angle_gamma 17.40
loop_
_atom_site_label
_atom_site_type_symbol
_atom_site_fract_x
_atom_site_fract_y
_atom_site_fract_z
Sr1 Sr 0.000 0.000 0.000
Y1 Y 0.500 0.500 0.500
Sc1 Sc 0.244 0.244 0.244
Sc2 Sc 0.756 0.756 0.756
```

- Space group: No. 166
- DFT formation energy: 249.4 meV per atom
- Distance to the lowest polymorph of the same formula: 100 meV per atom
- Raw total energy: -19.8 eV/f.u.
- N(E_F): 7.50 states/eV per cell

---

## ZrIrBr2 (PBE-GGA)

Data for crystalline ZrIrBr2 at its relaxed geometry.

Cell and atoms, written as CIF:
```
data_ZrIrBr2
_chemical_formula_sum 'Zr1 Ir1 Br2'
_space_group_name_H-M_alt 'P 1'
_space_group_IT_number 1
_space_group_name_Hall 'P 1'
_cell_length_a 7.761
_cell_length_b 7.761
_cell_length_c 4.220
_cell_angle_alpha 91.38
_cell_angle_beta 91.38
_cell_angle_gamma 26.14
loop_
_atom_site_label
_atom_site_type_symbol
_atom_site_fract_x
_atom_site_fract_y
_atom_site_fract_z
Zr1 Zr 0.000 0.000 0.000
Ir1 Ir 0.500 0.500 0.500
Br1 Br 0.358 0.358 0.783
Br2 Br 0.642 0.642 0.217
```

- Space group: No. 12
- Uncorrected formation energy: -0.54 eV/atom
- Distance to the lowest polymorph of the same formula: 0 meV per atom
- Raw total energy: -22.9 eV/f.u.
- N(E_F): 1.19 states/eV per cell

---

## Pm3Tm3Ge4 (PBE-GGA)

Data for crystalline Pm3Tm3Ge4 at its relaxed geometry.

Cell and atoms, written as CIF:
```
data_Pm3Tm3Ge4
_chemical_formula_sum 'Pm3 Tm3 Ge4'
_space_group_name_H-M_alt 'P 1'
_space_group_IT_number 1
_space_group_name_Hall 'P 1'
_cell_length_a 4.330
_cell_length_b 7.594
_cell_length_c 7.594
_cell_angle_alpha 89.99
_cell_angle_beta 90.00
_cell_angle_gamma 90.00
loop_
_atom_site_label
_atom_site_type_symbol
_atom_site_fract_x
_atom_site_fract_y
_atom_site_fract_z
Pm1 Pm 0.000 0.000 0.000
Pm2 Pm 0.000 0.496 0.845
Pm3 Pm 0.000 0.845 0.496
Tm1 Tm 0.000 0.346 0.346
Tm2 Tm 0.500 0.172 0.672
Tm3 Tm 0.500 0.672 0.172
Ge1 Ge 0.500 0.054 0.298
Ge2 Ge 0.500 0.298 0.054
Ge3 Ge 0.500 0.541 0.541
Ge4 Ge 0.500 0.795 0.795
```

- Space group: No. 38
- DFT formation energy: -786.5 meV per atom
- Raw total energy: -54.0 eV/f.u.
- N(E_F): 8.23 states/eV per cell

---

## CaZn2GaHg (PBE-GGA)

Data for crystalline CaZn2GaHg at its relaxed geometry.

Cell and atoms, written as CIF:
```
data_CaZn2GaHg
_chemical_formula_sum 'Ca1 Zn2 Ga1 Hg1'
_space_group_name_H-M_alt 'P 1'
_space_group_IT_number 1
_space_group_name_Hall 'P 1'
_cell_length_a 4.813
_cell_length_b 4.813
_cell_length_c 5.384
_cell_angle_alpha 90.00
_cell_angle_beta 90.00
_cell_angle_gamma 90.00
loop_
_atom_site_label
_atom_site_type_symbol
_atom_site_fract_x
_atom_site_fract_y
_atom_site_fract_z
Ca1 Ca 0.000 0.000 0.000
Zn1 Zn 0.000 0.500 0.500
Zn2 Zn 0.500 0.000 0.500
Ga1 Ga 0.500 0.500 0.500
Hg1 Hg 0.500 0.500 0.000
```

- Space group: No. 123
- DFT formation energy: 28.2 meV per atom
- Raw total energy: -7.7 eV/f.u.
- N(E_F): 2.68 states/eV per cell

---

## TbZn6Au12 (PBE-GGA)

Data for crystalline TbZn6Au12 at its relaxed geometry.

Cell and atoms, written as CIF:
```
data_TbZn6Au12
_chemical_formula_sum 'Tb1 Zn6 Au12'
_space_group_name_H-M_alt 'P 1'
_space_group_IT_number 1
_space_group_name_Hall 'P 1'
_cell_length_a 7.498
_cell_length_b 7.498
_cell_length_c 7.498
_cell_angle_alpha 106.09
_cell_angle_beta 106.09
_cell_angle_gamma 106.09
loop_
_atom_site_label
_atom_site_type_symbol
_atom_site_fract_x
_atom_site_fract_y
_atom_site_fract_z
Tb1 Tb 0.000 0.000 0.000
Zn1 Zn 0.290 0.290 0.693
Zn2 Zn 0.290 0.693 0.290
Zn3 Zn 0.307 0.710 0.710
Zn4 Zn 0.693 0.290 0.290
Zn5 Zn 0.710 0.307 0.710
Zn6 Zn 0.710 0.710 0.307
Au1 Au 0.119 0.500 0.881
Au2 Au 0.119 0.881 0.500
Au3 Au 0.120 0.366 0.366
Au4 Au 0.366 0.120 0.366
Au5 Au 0.366 0.366 0.120
Au6 Au 0.500 0.119 0.881
Au7 Au 0.500 0.881 0.119
Au8 Au 0.634 0.634 0.880
Au9 Au 0.634 0.880 0.634
Au10 Au 0.880 0.634 0.634
Au11 Au 0.881 0.119 0.500
Au12 Au 0.881 0.500 0.119
```

- Space group: No. 166
- DFT formation energy: -192.5 meV per atom
- Raw total energy: -55.3 eV/f.u.
- N(E_F): 8.90 states/eV per cell